[1]
Computed, not measured: a relaxed NaTi3P3O13 crystal at the PBEsol level of DFT.

Summary:
Theoretical density, g cm⁻³: 3.145
Volume, Å³ per cell: 494
Raw total energy, eV per cell: -326.01

a b c (Å): 7.6254 6.3482 10.3470
angles (deg): 90.00 99.72 90.00
Space group P2_1/m (No. 11)
Asymmetric unit:
Na 0.1569 0.2500 0.1857 x2
Ti 0.1404 0.2500 0.8073 x2
Ti 0.2888 0.7500 0.4404 x2
Ti 0.5000 0.0000 0.0000 x2
P 0.1902 0.7500 0.1168 x2
P 0.2355 0.7500 0.7651 x2
P 0.2782 0.2500 0.5162 x2
O 0.0025 0.2500 0.9591 x2
O 0.1243 0.5580 0.7902 x4
O 0.1501 0.7500 0.2606 x2
O 0.1612 0.2500 0.6215 x2
O 0.2436 0.0555 0.4271 x4
O 0.2833 0.7500 0.6268 x2
O 0.2942 0.5498 0.0940 x4
O 0.3649 0.2500 0.9036 x2
O 0.4123 0.7500 0.8682 x2
O 0.4788 0.2500 0.5844 x2

***

[2]
Computed, not measured: a relaxed NaTiPO5 crystal at the PBEsol level of DFT.

Summary:
Theoretical density, g cm⁻³: 3.247
Energy above the most stable polymorph in this dataset, kJ/mol of atoms: 1.9
Volume, Å³ per cell: 372
Raw total energy, eV per cell: -249.28

a b c (Å): 7.3582 6.4836 7.7957
angles (deg): 90.00 90.00 90.00
Space group Pnma (No. 62)
Asymmetric unit:
Na 0.0000 0.0000 0.0000 x4
Ti 0.1652 0.2500 0.2848 x4
P 0.1219 0.7500 0.3936 x4
O 0.0621 0.2500 0.5105 x4
O 0.1014 0.7500 0.8233 x4
O 0.1354 0.5579 0.2774 x8
O 0.2184 0.2500 0.0241 x4

***

[3]
Computed, not measured: a relaxed NaTiPO5 crystal at the PBEsol level of DFT.

Summary:
Theoretical density, g cm⁻³: 3.336
Energy above the most stable polymorph in this dataset, kJ/mol of atoms: 0.0
Volume, Å³ per cell: 362
Raw total energy, eV per cell: -249.91

a b c (Å): 6.6173 8.5202 7.0874
angles (deg): 90.00 115.05 90.00
Space group P2_1/c (No. 14)
Asymmetric unit:
Na 0.2492 0.0790 0.2347 x4
Ti 0.2516 0.7445 0.9876 x4
P 0.2496 0.0698 0.7494 x4
O 0.0639 0.1781 0.5976 x4
O 0.1585 0.5343 0.3761 x4
O 0.2519 0.6827 0.7501 x4
O 0.3442 0.5323 0.1243 x4
O 0.4312 0.1809 0.8998 x4

***

[4]
Computed, not measured: a relaxed Na2UP2O9 crystal at the PBEsol level of DFT.

Summary:
Theoretical density, g cm⁻³: 4.320
Volume, Å³ per cell: 753
Raw total energy, eV per cell: -435.06

a b c (Å): 13.2359 8.1742 6.9621
angles (deg): 90.00 90.00 90.00
Space group Pna2_1 (No. 33)
Asymmetric unit:
Na 0.0357 0.0216 0.0000 x4
Na 0.1637 0.2676 0.2706 x4
U 0.2009 0.7519 0.2628 x4
P 0.0763 0.3469 0.7636 x4
P 0.0986 0.7135 0.7628 x4
O 0.0117 0.8330 0.7606 x4
O 0.0238 0.7456 0.2566 x4
O 0.0439 0.5355 0.7766 x4
O 0.1403 0.2963 0.9380 x4
O 0.1450 0.3180 0.5909 x4
O 0.1636 0.7159 0.5813 x4
O 0.1656 0.7321 0.9410 x4
O 0.1743 0.9709 0.2628 x4
O 0.2278 0.5352 0.2562 x4

***

[5]
Computed, not measured: a relaxed NaVPO5 crystal at the PBEsol level of DFT.

Summary:
Theoretical density, g cm⁻³: 3.395
Energy above the most stable polymorph in this dataset, kJ/mol of atoms: 3.7
Volume, Å³ per cell: 362
Raw total energy, eV per cell: -245.45

a b c (Å): 7.2860 6.4054 7.7516
angles (deg): 90.00 90.00 90.00
Space group Pnma (No. 62)
Asymmetric unit:
Na 0.0000 0.0000 0.0000 x4
V 0.1685 0.2500 0.2859 x4
P 0.1228 0.7500 0.3946 x4
O 0.0613 0.2500 0.5067 x4
O 0.1034 0.7500 0.8158 x4
O 0.1349 0.5575 0.2746 x8
O 0.2151 0.2500 0.0243 x4

***

[6]
Computed, not measured: a relaxed NaVP2O7 crystal at the PBEsol level of DFT.

Summary:
Theoretical density, g cm⁻³: 3.196
Volume, Å³ per cell: 515
Raw total energy, eV per cell: -337.07

a b c (Å): 7.3460 7.8743 9.5896
angles (deg): 90.00 111.76 90.00
Space group P2_1/c (No. 14)
Asymmetric unit:
Na 0.2110 0.0241 0.2064 x4
V 0.2394 0.0081 0.7516 x4
P 0.1727 0.7112 0.9555 x4
P 0.4267 0.2449 0.0445 x4
O 0.0311 0.5859 0.8484 x4
O 0.1367 0.6041 0.4013 x4
O 0.1917 0.6994 0.1192 x4
O 0.3137 0.2139 0.8772 x4
O 0.3148 0.1356 0.6058 x4
O 0.3763 0.6520 0.9404 x4
O 0.4899 0.0821 0.1379 x4

***

[7]
Computed, not measured: a relaxed Na3V2P3O12 crystal at the PBEsol level of DFT.

Summary:
Theoretical density, g cm⁻³: 3.250
Energy above the most stable polymorph in this dataset, kJ/mol of atoms: 2.3
Volume, Å³ per cell: 932
Raw total energy, eV per cell: -594.33

a b c (Å): 8.6601 8.8804 14.7305
angles (deg): 90.00 124.69 90.00
Space group P2_1/c (No. 14)
Asymmetric unit:
Na 0.0441 0.1802 0.4105 x4
Na 0.2489 0.0017 0.3326 x4
Na 0.4165 0.1960 0.1645 x4
V 0.1453 0.5320 0.3876 x4
V 0.3546 0.5386 0.1071 x4
P 0.0443 0.1310 0.6474 x4
P 0.2520 0.6162 0.6458 x4
P 0.4695 0.2469 0.9919 x4
O 0.0322 0.2072 0.1799 x4
O 0.0850 0.5876 0.6554 x4
O 0.0890 0.0149 0.7377 x4
O 0.1514 0.5767 0.9528 x4
O 0.1873 0.1205 0.6156 x4
O 0.2044 0.5629 0.5346 x4
O 0.2842 0.1590 0.9414 x4
O 0.2848 0.7106 0.1630 x4
O 0.3611 0.6510 0.4240 x4
O 0.4255 0.5292 0.7393 x4
O 0.4550 0.1227 0.5571 x4
O 0.4789 0.1867 0.3986 x4

***

[8]
Computed, not measured: a relaxed Na2VPO6 crystal at the PBEsol level of DFT.

Summary:
Theoretical density, g cm⁻³: 2.723
Energy above the most stable polymorph in this dataset, kJ/mol of atoms: 0.0
Volume, Å³ per cell: 546
Raw total energy, eV per cell: -289.80

a b c (Å): 6.1622 12.5117 8.0884
angles (deg): 90.00 118.85 90.00
Space group P2_1/c (No. 14)
Asymmetric unit:
Na 0.1065 0.1418 0.4220 x4
Na 0.2566 0.0761 0.0666 x4
V 0.4101 0.7190 0.6221 x4
P 0.2139 0.6130 0.8038 x4
O 0.0793 0.5074 0.7437 x4
O 0.0963 0.6977 0.6420 x4
O 0.2249 0.6550 0.9884 x4
O 0.3170 0.2232 0.2642 x4
O 0.4073 0.6458 0.4538 x4
O 0.4803 0.6106 0.8216 x4

***

[9]
Computed, not measured: a relaxed NaVPO5 crystal at the PBEsol level of DFT.

Summary:
Theoretical density, g cm⁻³: 3.532
Energy above the most stable polymorph in this dataset, kJ/mol of atoms: 0.0
Volume, Å³ per cell: 348
Raw total energy, eV per cell: -246.69

a b c (Å): 6.5359 8.4724 6.9125
angles (deg): 90.00 114.73 90.00
Space group C2/c (No. 15)
Asymmetric unit:
Na 0.0000 0.1726 0.2500 x4
V 0.0000 0.5000 0.0000 x4
P 0.0000 0.1809 0.7500 x4
O 0.0000 0.4412 0.2500 x4
O 0.0953 0.2841 0.6209 x8
O 0.1847 0.0703 0.9037 x8